Entry 1:
The following is a GGA-PBE calculation of crystalline CSeS2 at its relaxed geometry, from the Alexandria database.

Results
- Uncorrected formation energy: 1.9657 eV/atom

Cell lengths 4.367, 4.367, 4.367 Å; angles 60.00, 60.00, 60.00 degrees
Element x y z (fractional)
C 0.000 0.000 0.000
S 0.750 0.750 0.750
S 0.250 0.250 0.250
Se 0.500 0.500 0.500


Entry 2:
The following is a GGA-PBE calculation of crystalline Pm5Pr2SmSc at its relaxed geometry, from the Alexandria database.

Results
- Calculated total energy: -86.6 eV per cell

Cell lengths 5.453, 11.393, 10.232 Å; angles 90.00, 90.00, 103.85 degrees
Element x y z (fractional)
Pm 0.722 0.445 0.196
Pm 0.277 0.555 0.320
Pm 0.001 0.002 0.508
Pm 0.500 0.000 0.258
Pm 0.278 0.555 0.696
Pm 0.627 0.254 0.508
Pm 0.500 0.000 0.758
Pm 0.999 0.998 0.008
Pm 0.723 0.445 0.820
Pm 0.373 0.746 0.008
Pr 0.883 0.766 0.253
Pr 0.883 0.766 0.763
Pr 0.117 0.234 0.753
Pr 0.117 0.234 0.263
Sm 0.602 0.205 0.008
Sm 0.398 0.795 0.508
Sc 0.214 0.428 0.008
Sc 0.786 0.572 0.508


Entry 3:
The following is a GGA-PBE calculation of crystalline TaAlH at its relaxed geometry, from the Alexandria database.

Results
- Calculated total energy: -18.9 eV per cell

Cell lengths 2.815, 2.815, 5.315 Å; angles 105.36, 105.36, 90.00 degrees
Element x y z (fractional)
Al 0.002 0.002 0.004
H 0.280 0.280 0.561
Ta 0.718 0.718 0.436


Entry 4:
The following is a GGA-PBE calculation of crystalline PmZn6Cu12 at its relaxed geometry, from the Alexandria database.

Results
- Calculated total energy: -60.9 eV per cell

Cell lengths 6.772, 6.772, 6.772 Å; angles 103.07, 103.07, 103.07 degrees
Element x y z (fractional)
Cu 0.625 0.884 0.625
Cu 0.625 0.625 0.884
Cu 0.890 0.110 0.500
Cu 0.375 0.116 0.375
Cu 0.890 0.500 0.110
Cu 0.500 0.110 0.890
Cu 0.500 0.890 0.110
Cu 0.110 0.500 0.890
Cu 0.110 0.890 0.500
Cu 0.375 0.375 0.116
Cu 0.884 0.625 0.625
Cu 0.116 0.375 0.375
Zn 0.285 0.285 0.697
Zn 0.303 0.715 0.715
Zn 0.715 0.303 0.715
Zn 0.697 0.285 0.285
Zn 0.715 0.715 0.303
Zn 0.285 0.697 0.285
Pm 0.000 0.000 0.000


Entry 5:
The following is a GGA-PBE calculation of crystalline SrLiZr3 at its relaxed geometry, from the Alexandria database.

Results
- Calculated total energy: -20.2 eV per cell

Cell lengths 5.289, 5.289, 5.289 Å; angles 90.00, 90.00, 90.00 degrees
Element x y z (fractional)
Zr 0.000 0.500 0.000
Zr 0.000 0.000 0.500
Zr 0.500 0.000 0.000
Li 0.500 0.500 0.500
Sr 0.000 0.000 0.000


Entry 6:
The following is a GGA-PBE calculation of crystalline Ce2Cd15Hg2 at its relaxed geometry, from the Alexandria database.

Results
- Calculated total energy: -28.3 eV per cell

Cell lengths 7.694, 7.694, 7.694 Å; angles 82.46, 82.46, 82.46 degrees
Site moments in Bohr magnetons follow the coordinates.
Element x y z (fractional)
Ce 0.670 0.670 0.670  1.02
Ce 0.330 0.330 0.330  1.02
Cd 0.301 0.000 0.699  0.00
Cd 0.699 0.301 0.000  0.00
Cd 0.699 0.000 0.301  0.00
Cd 0.639 0.164 0.639  0.00
Cd 0.836 0.361 0.361  0.00
Cd 0.361 0.361 0.836  0.00
Cd 0.000 0.000 0.500  0.00
Cd 0.000 0.301 0.699  0.00
Cd 0.000 0.699 0.301  0.00
Cd 0.639 0.639 0.164  0.00
Cd 0.164 0.639 0.639  0.00
Cd 0.301 0.699 0.000  0.00
Cd 0.000 0.500 0.000  0.00
Cd 0.500 0.000 0.000  0.00
Cd 0.361 0.836 0.361  0.00
Hg 0.105 0.105 0.105  0.00
Hg 0.895 0.895 0.895  0.00


Entry 7:
The following is a GGA-PBE calculation of crystalline SrMoH2 at its relaxed geometry, from the Alexandria database.

Results
- Calculated total energy: -36.7 eV per cell

Cell lengths 5.417, 5.417, 5.358 Å; angles 59.63, 59.63, 90.00 degrees
Element x y z (fractional)
H 0.375 0.287 0.750
H 0.875 0.963 0.750
H 0.037 0.625 0.250
H 0.713 0.125 0.250
Mo 0.750 0.250 0.500
Mo 0.000 0.000 0.000
Sr 0.500 0.500 0.000
Sr 0.250 0.750 0.500


Entry 8:
The following is a GGA-PBE calculation of crystalline Sr2ZrSiRu at its relaxed geometry, from the Alexandria database.

Results
- Uncorrected formation energy: 0.5970 eV/atom

Cell lengths 5.756, 4.599, 5.756 Å; angles 90.00, 90.00, 90.00 degrees
Site moments in Bohr magnetons follow the coordinates.
Element x y z (fractional)
Ru 0.000 0.000 0.000  -0.15
Zr 0.500 0.500 0.500  1.25
Si 0.000 0.500 0.000  -0.03
Sr 0.500 0.000 0.000  0.03
Sr 0.000 0.000 0.500  0.05


In order of appearance, size of the total moment = 0.0; 0.0; 0.0; 0.0; 0.0; 2.3; 0.0; 2.0 μB per formula unit.
In order of appearance, V = 14.720; 34.289; 13.018; 14.834; 29.585; 23.403; 13.741; 30.473 A^3/atom.